Record 1
GGA-PBEsol MgGa3, optimized geometry; total DFT energy (no corrections) = -11.87 eV per formula unit; calculated volume = 18.56 Å³/atom; crystal system = cubic
1.0
4.7173 0.0000 0.0000
2.3587 4.0853 0.0000
2.3587 1.3618 3.8517
Mg Ga
1 3
Direct
0.5000 0.5000 0.5000
0.0000 0.0000 0.0000
0.2500 0.2500 0.2500
0.7500 0.7500 0.7500

=====

Record 2
GGA-PBEsol Mg3Ga, optimized geometry; total DFT energy (no corrections) = -8.86 eV per formula unit; calculated volume = 20.01 Å³/atom; crystal system = hexagonal
1.0
-3.8118 -1.0193 -2.9868
-3.3038 -1.7805 4.8239
-0.1393 5.8350 -1.8135
Mg Ga
6 2
Direct
0.7500 0.8305 0.1695
0.7500 0.8305 0.6610
0.2500 0.1695 0.8305
0.2500 0.1695 0.3390
0.2500 0.6610 0.8305
0.7500 0.3390 0.1695
0.7500 0.3333 0.6667
0.2500 0.6667 0.3333

=====

Record 3
GGA-PBEsol Mg3Ga, optimized geometry; total DFT energy (no corrections) = -8.79 eV per formula unit; calculated volume = 20.23 Å³/atom; crystal system = tetragonal
1.0
4.3540 0.0000 0.0000
0.0000 4.3540 0.0000
-2.1770 -2.1770 4.2687
Mg Ga
3 1
Direct
0.2500 0.7500 0.5000
0.5000 0.5000 0.0000
0.7500 0.2500 0.5000
0.0000 0.0000 0.0000

=====

Record 4
GGA-PBEsol MgGa5, optimized geometry; total DFT energy (no corrections) = -18.45 eV per formula unit; calculated volume = 18.34 Å³/atom; crystal system = hexagonal
1.0
3.0502 0.0000 0.0000
-1.5251 2.6415 0.0000
0.0000 0.0000 13.6573
Ga Mg
5 1
Direct
0.3333 0.6667 0.5000
0.0000 0.0000 0.6654
0.0000 0.0000 0.3346
0.3333 0.6667 0.8285
0.3333 0.6667 0.1715
0.0000 0.0000 0.0000